NaZn2HPb: relaxed, GGA-PBE.

Unit cell a=5.664 b=3.916 c=5.664 alpha=90.00 beta=90.00 gamma=90.00
Fractional positions:
H 0.000 0.500 0.000
Zn 0.500 0.000 0.000
Zn 0.000 0.000 0.500
Na 0.500 0.500 0.500
Pb 0.000 0.000 0.000

## Properties
total magnetic moment = 0.000 μB/f.u.
total energy = -1.803 eV/atom
ρ = 4784 kg/m3

NaZrHPb2: relaxed, GGA-PBE.

Unit cell a=5.887 b=3.770 c=5.887 alpha=90.00 beta=90.00 gamma=90.00
Fractional positions:
Na 0.500 0.500 0.500
Pb 0.000 0.000 0.500
H 0.000 0.500 0.000
Zr 0.000 0.000 0.000
Pb 0.500 0.000 0.000

## Properties
total magnetic moment = 0.000 μB/f.u.
total energy = -4.066 eV/atom
ρ = 6731 kg/m3